A plane-wave DFT calculation with PBE was carried out for BeBAs after structural relaxation.

a = 13.131 Å, b = 2.963 Å, c = 4.358 Å
α = 90.00°, β = 92.28°, γ = 90.00°
Fractional positions:
Be 0.236 0.000 0.285
Be 0.264 0.500 0.715
Be 0.736 0.500 0.285
Be 0.764 0.000 0.715
B 0.000 0.500 0.319
B 0.000 0.500 0.681
B 0.500 0.000 0.319
B 0.500 0.000 0.681
As 0.115 0.500 0.013
As 0.385 0.000 0.987
As 0.615 0.000 0.013
As 0.885 0.500 0.987

Values from the calculation:
Energy of formation from the pure elements (eV per atom): 0.666
Space-group type: C2/m, No. 12
Calculated volume (Å³ per atom): 14.12